Entry 1:
A plane-wave DFT calculation with PBE was carried out for La2DyAg5 after structural relaxation.

## Properties
Space-group type ... No. 139
Density of states at the Fermi level ... 7.25 states/eV/cell
M_tot ... 0.00 μB/f.u.
Total DFT energy (no corrections) ... -3.794 eV/atom
ρ ... 8.29 g/cm³

Geometry as POSCAR:
```
La2DyAg5
1.0
-2.5860 2.5860 7.3336
2.5860 -2.5860 7.3336
2.5860 2.5860 -7.3336
La Dy Ag
2 1 5
direct
0.2284 0.2284 0.0000
0.7716 0.7716 0.0000
0.5000 0.5000 0.0000
0.0000 0.0000 0.0000
0.1082 0.6082 0.5000
0.3918 0.8918 0.5000
0.6082 0.1082 0.5000
0.8918 0.3918 0.5000
```

---

Entry 2:
A plane-wave DFT calculation with PBE was carried out for TaTlAs2 after structural relaxation.

## Properties
Space-group type ... No. 123
Density of states at the Fermi level ... 3.51 states/eV/cell
M_tot ... 0.00 μB/f.u.
Total DFT energy (no corrections) ... -5.392 eV/atom
ρ ... 11.24 g/cm³

Geometry as POSCAR:
```
TaTlAs2
1.0
4.7914 0.0000 0.0000
0.0000 4.7914 0.0000
0.0000 0.0000 3.4439
Ta Tl As
1 1 2
direct
0.0000 0.0000 0.0000
0.5000 0.5000 0.0000
0.0000 0.5000 0.5000
0.5000 0.0000 0.5000
```

---

Entry 3:
A plane-wave DFT calculation with PBE was carried out for ZnCrCd2 after structural relaxation.

## Properties
Space-group type ... No. 139
Density of states at the Fermi level ... 1.35 states/eV/cell
M_tot ... 4.07 μB/f.u.
Total DFT energy (no corrections) ... -2.936 eV/atom
ρ ... 7.63 g/cm³

Geometry as POSCAR:
```
ZnCrCd2
1.0
-2.0972 2.0972 4.2308
2.0972 -2.0972 4.2308
2.0972 2.0972 -4.2308
Zn Cr Cd
1 1 2
direct
0.0000 0.0000 0.0000
0.5000 0.5000 0.0000
0.2500 0.7500 0.5000
0.7500 0.2500 0.5000
```

---

Entry 4:
A plane-wave DFT calculation with PBE was carried out for Cs5VCl8 after structural relaxation.

## Properties
Space-group type ... No. 82
M_tot ... 2.00 μB/f.u.
Total DFT energy (no corrections) ... -3.712 eV/atom
ρ ... 2.61 g/cm³

Geometry as POSCAR:
```
Cs5VCl8
1.0
-5.0604 5.0604 6.2171
5.0604 -5.0604 6.2171
5.0604 5.0604 -6.2171
Cs V Cl
5 1 8
direct
0.0000 0.0000 0.0000
0.0955 0.5127 0.8333
0.4873 0.3206 0.5829
0.6794 0.2622 0.1667
0.7378 0.9045 0.4171
0.2500 0.7500 0.5000
0.0038 0.1791 0.4007
0.3335 0.0321 0.6805
0.3471 0.6665 0.6986
0.3515 0.6529 0.3195
0.3969 0.9962 0.1753
0.7784 0.6031 0.5993
0.8209 0.2216 0.8247
0.9679 0.6485 0.3014
```